No. 1
Material: MgWCl
Method: DFT, GGA-PBE
State: relaxed

Total magnetic moment ... 0.000 μB per formula unit
SG ... P3m1 (156)

Unit cell a=3.015 b=3.015 c=8.404 alpha=90.00 beta=90.00 gamma=120.00
Element x y z (fractional)
Mg (0.000, 0.000, 0.000)
W (0.667, 0.333, 0.283)
Cl (0.333, 0.667, 0.491)

No. 2
Material: MgW3Cl
Method: DFT, GGA-PBE
State: relaxed

Total magnetic moment ... 0.000 μB per formula unit
SG ... Pm-3m (221)

Unit cell a=4.442 b=4.442 c=4.442 alpha=90.00 beta=90.00 gamma=90.00
Element x y z (fractional)
Mg (0.000, 0.000, 0.000)
W (0.000, 0.500, 0.500)
W (0.500, 0.000, 0.500)
W (0.500, 0.500, 0.000)
Cl (0.500, 0.500, 0.500)

Energy relative to the elements, uncorrected across the listed records, respectively: 0.58, 6.97 eV/f.u..